Here is Ac5Pr2Rh5 after structural relaxation from Alexandria via LeMat-Bulk. Energies are from PBE-GGA.

a = 14.0169 Å, b = 4.1968 Å, c = 12.7052 Å
α = 90.00°, β = 106.00°, γ = 90.00°
Closest atoms and distances in Å follow each position.
Space group C2/m (No. 12)
One atom of each set of equivalent atoms:
Ac1 0.0000 0.0000 0.0000 (multiplicity 2)  4 Rh 2.97
Ac2 0.1547 0.0000 0.5496 (multiplicity 4)  5 Rh 2.96-3.24
Ac3 0.2399 0.0000 0.8570 (multiplicity 4)  5 Rh 2.97-3.31
Pr1 0.0395 0.5000 0.2857 (multiplicity 4)  4 Rh 2.92-2.93
Rh1 0.0000 0.5000 0.5000 (multiplicity 2)  2 Pr 2.92, 4 Ac 2.96
Rh2 0.1144 0.5000 0.9231 (multiplicity 4)  1 Pr 2.92, 5 Ac 2.97-3.00
Rh3 0.1898 0.0000 0.3084 (multiplicity 4)  2 Pr 2.93, 3 Ac 3.20-3.24

Values from the calculation:
Formation energy from the elements   -0.6094 eV per atom
Density of states at the Fermi level   0.574 states/eV/atom
Magnetization   0.0 Bohr magnetons per cell